No. 1
{"formula": "LiCo2Ag2", "functional": "PBE", "state": "relaxed", "formation_enthalpy_0k_ev_per_fu": 1.7, "cell": [[-7.411, 1.713, -0.537], [-1.722, -6.139, 4.182], [0.182, 1.499, 2.275]], "species": ["Co", "Co", "Co", "Co", "Ag", "Ag", "Ag", "Ag", "Li", "Li"], "fractional_positions": [[0.398, 0.898, 0.000], [0.898, 0.602, 0.000], [0.602, 0.102, 0.000], [0.102, 0.398, 0.000], [0.191, 0.691, 0.500], [0.691, 0.809, 0.500], [0.809, 0.309, 0.500], [0.309, 0.191, 0.500], [0.000, 0.000, 0.000], [0.500, 0.500, 0.000]]}

***

No. 2
{"formula": "Dy3SnS6", "functional": "PBE", "state": "relaxed", "e_form_raw_mev_per_atom": -1608, "cell": [[-1.588, -2.398, 6.053], [-0.485, -7.861, -3.241], [8.167, 0.534, 2.353]], "species": ["Dy", "Dy", "Dy", "Dy", "Dy", "Dy", "Sn", "Sn", "S", "S", "S", "S", "S", "S", "S", "S", "S", "S", "S", "S"], "fractional_positions": [[0.485, 0.915, 0.711], [0.985, 0.711, 0.915], [0.385, 0.404, 0.596], [0.885, 0.596, 0.404], [0.985, 0.085, 0.289], [0.485, 0.289, 0.085], [0.995, 0.173, 0.827], [0.495, 0.827, 0.173], [0.182, 0.695, 0.634], [0.682, 0.634, 0.695], [0.197, 0.431, 0.902], [0.697, 0.902, 0.431], [0.249, 0.009, 0.991], [0.628, 0.230, 0.770], [0.128, 0.770, 0.230], [0.749, 0.991, 0.009], [0.197, 0.098, 0.569], [0.697, 0.569, 0.098], [0.182, 0.366, 0.305], [0.682, 0.305, 0.366]]}

***

No. 3
{"formula": "Mg2GePd8", "functional": "PBE", "state": "relaxed", "formation_enthalpy_0k_ev_per_fu": -5.1, "cell": [[4.495, 0.000, 0.000], [0.000, 5.817, -0.176], [-2.247, -2.684, 6.821]], "species": ["Mg", "Mg", "Ge", "Pd", "Pd", "Pd", "Pd", "Pd", "Pd", "Pd", "Pd"], "fractional_positions": [[0.811, 0.312, 0.622], [0.189, 0.688, 0.378], [0.500, 0.000, 0.000], [0.362, 0.596, 0.723], [0.640, 0.879, 0.281], [0.821, 0.818, 0.641], [0.999, 0.256, 0.998], [0.179, 0.182, 0.359], [0.360, 0.121, 0.719], [0.638, 0.404, 0.277], [0.001, 0.744, 0.002]]}

***

No. 4
{"formula": "YLuTlPt", "functional": "PBE", "state": "relaxed", "formation_enthalpy_0k_ev_per_fu": -2.8, "cell": [[5.106, 0.000, 0.000], [2.553, 4.422, 0.000], [2.553, 1.474, 4.169]], "species": ["Y", "Tl", "Lu", "Pt"], "fractional_positions": [[0.750, 0.750, 0.750], [0.000, 0.000, 0.000], [0.250, 0.250, 0.250], [0.500, 0.500, 0.500]]}

***

No. 5
{"formula": "TlAg2TeCl", "functional": "PBE", "state": "relaxed", "e_form_raw_mev_per_atom": -322, "cell": [[-0.329, 3.660, -2.797], [1.959, -4.451, -6.054], [-8.515, -0.486, 0.365]], "species": ["Tl", "Tl", "Ag", "Ag", "Ag", "Ag", "Te", "Te", "Cl", "Cl"], "fractional_positions": [[0.250, 0.933, 0.273], [0.750, 0.067, 0.727], [0.750, 0.515, 0.693], [0.250, 0.485, 0.307], [0.750, 0.430, 0.058], [0.250, 0.570, 0.942], [0.250, 0.214, 0.026], [0.750, 0.786, 0.974], [0.250, 0.335, 0.569], [0.750, 0.665, 0.431]]}

***

No. 6
{"formula": "Cs2LaBiS4", "functional": "PBE", "state": "relaxed", "e_form_raw_mev_per_atom": -1327, "cell": [[-3.321, 1.534, 2.257], [-1.357, -6.797, 2.623], [5.364, 3.708, 5.373]], "species": ["Cs", "Cs", "La", "Bi", "S", "S", "S", "S"], "fractional_positions": [[0.500, 0.000, 0.500], [0.000, 0.500, 0.500], [0.500, 0.500, 0.000], [0.000, 0.000, 0.000], [0.500, 0.227, 0.189], [0.500, 0.773, 0.811], [0.000, 0.268, 0.812], [0.000, 0.732, 0.188]]}

***

> What is the formula in the fourth record?

YLuTlPt